i | YCd3Ag | GGA-PBE | relaxed

Lattice parameters (Å, degrees): 9.2042 4.2637 12.0075 90.00 90.00 90.00
Space group Pnma (No. 62)
Unique sites:
Y1 0.1815 0.2500 0.0015
Cd1 0.0675 0.2500 0.4027
Cd2 0.0827 0.7500 0.1980
Cd3 0.1470 0.7500 0.7986
Ag1 0.1332 0.2500 0.6310

DOS at the Fermi energy: 11.3 states/eV/cell
magnetic moment: 0.000 μB/atom

ii | YCd3Ag | GGA-PBE | relaxed

Lattice parameters (Å, degrees): 5.9018 5.9018 5.9018 90.00 90.00 90.00
Space group Pm-3m (No. 221)
Unique sites:
Y1 0.0000 0.0000 0.0000
Cd1 0.0000 0.0000 0.5000
Ag1 0.5000 0.5000 0.5000

DOS at the Fermi energy: 3.8 states/eV/cell
magnetic moment: 0.000 μB/atom

iii | YCd3Ag | GGA-PBE | relaxed

Lattice parameters (Å, degrees): 6.6110 4.9276 6.9601 90.00 91.71 90.00
Space group P2_1/m (No. 11)
Unique sites:
Y1 0.2396 0.2500 0.2394
Cd1 0.2014 0.7500 0.5458
Cd2 0.2841 0.7500 0.9461
Cd3 0.4491 0.2500 0.7034
Ag1 0.0463 0.2500 0.7979

DOS at the Fermi energy: 5.1 states/eV/cell
magnetic moment: 0.000 μB/atom

The least stable of them is ii.